## ZnAs2Au (meta-GGA SCAN)

Data for a crystal of ZnAs2Au relaxed with PBEsol.

Properties
calculated volume	17.53	A^3/atom
DFT formation energy	0.306	eV/atom

Cell: 4.629 4.629 4.629 Å, 60.00 60.00 60.00°
Fractional positions:
As 0.000 0.000 0.000
As 0.750 0.750 0.750
Zn 0.250 0.250 0.250
Au 0.500 0.500 0.500

---

## ZnAs4Au (meta-GGA SCAN)

Data for a crystal of ZnAs4Au relaxed with PBEsol.

Properties
calculated volume	19.25	A^3/atom
DFT formation energy	0.567	eV/atom

Cell: 5.467 5.467 5.467 Å, 60.00 60.00 60.00°
Fractional positions:
As 0.375 0.375 0.375
As 0.375 0.375 0.875
As 0.875 0.375 0.375
As 0.375 0.875 0.375
Au 0.750 0.750 0.750
Zn 0.000 0.000 0.000

---

## Zr2AsAu (meta-GGA SCAN)

Data for a crystal of Zr2AsAu relaxed with PBEsol.

Properties
calculated volume	20.46	A^3/atom
DFT formation energy	-0.939	eV/atom

Cell: 3.719 3.719 7.164 Å, 74.96 74.96 60.00°
Fractional positions:
Zr 0.743 0.743 0.771
Zr 0.257 0.257 0.229
As 0.000 0.000 0.000
Au 0.500 0.500 0.500

---

## ZrAsAu2 (meta-GGA SCAN)

Data for a crystal of ZrAsAu2 relaxed with PBEsol.

Properties
calculated volume	18.15	A^3/atom
DFT formation energy	-0.420	eV/atom

Cell: 3.053 3.717 6.395 Å, 90.00 90.00 90.00°
Fractional positions:
Au 0.000 0.000 0.012
Au 0.500 0.500 0.245
As 0.500 0.500 0.735
Zr 0.000 0.000 0.507